Below is BaCd2Ge2 after structural relaxation, with properties calculated at the GGA-PBE level.

Values from the calculation:
As for the size of the total moment: 0.00 μB/atom. For the uncorrected energy, the calculation gives -26.6 eV/cell. The value obtained for the density of states at the Fermi level is 4.07 states/eV per cell.

a b c (Å): 8.632 8.632 3.385
angles (deg): 90.00 90.00 90.00
Space group P4/mbm (No. 127)
Symmetry-distinct sites (fractional):
Ba 0.000 0.000 0.000
Cd 0.121 0.379 0.000
Ge 0.172 0.672 0.500